This record from Alexandria via LeMat-Bulk describes a relaxed FeNiPO2 crystal. The functional is PBE with a Hubbard U.

Mass density: 4667 kg/m³
Relative energy among the computed polymorphs: 204 meV per atom

Cell: 3.5089 3.5089 5.1299 Å, 90.00 90.00 90.00°
With the nearest neighbours (Å) after each atom.
Space group P4/mmm (No. 123)
Symmetry-distinct sites (fractional):
Fe  0.0000  0.0000  0.0000 x1  4 Ni 2.48, 2 P 2.56
Ni  0.5000  0.5000  0.0000 x1  4 Fe 2.48
P  0.0000  0.0000  0.5000 x1  4 O 1.75
O  0.0000  0.5000  0.5000 x2  2 P 1.75